A geometry-optimized Sr2Sc2Sn2O structure. Source: Alexandria via LeMat-Bulk, functional PBE-GGA.

Computed properties:
SG: I4/mmm (139)
ΔE_f (raw) in eV/f.u.: -9.66

a = 4.5655 Å, b = 4.5655 Å, c = 9.1709 Å
α = 104.41°, β = 104.41°, γ = 90.00°
Closest atoms and distances in Å follow each position.
Atoms (fractional coordinates):
Sn: 0.6210 0.6210 0.2420  4 Sc 3.09, 4 Sr 3.33
Sn: 0.3790 0.3790 0.7580  4 Sc 3.09, 4 Sr 3.33
O: 0.0000 0.0000 0.0000  4 Sc 2.28
Sc: 0.5000 0.0000 0.0000  2 O 2.28
Sc: 0.0000 0.5000 0.0000  2 O 2.28
Sr: 0.8318 0.8318 0.6636  1 O 2.89
Sr: 0.1682 0.1682 0.3364  1 O 2.89


A geometry-optimized YHfBr3 structure. Source: Alexandria via LeMat-Bulk, functional PBE-GGA.

Computed properties:
Polymorph energy (0 for the lowest one) in meV/atom: 19
SG: Pm-3m (221)
ΔE_f (raw) in eV/f.u.: -1.08

a = 5.6033 Å, b = 5.6033 Å, c = 5.6033 Å
α = 90.00°, β = 90.00°, γ = 90.00°
Closest atoms and distances in Å follow each position.
Atoms (fractional coordinates):
Y: 0.0000 0.0000 0.0000  6 Br 2.80
Br: 0.0000 0.5000 0.0000  2 Y 2.80
Br: 0.0000 0.0000 0.5000  2 Y 2.80
Br: 0.5000 0.0000 0.0000  2 Y 2.80
Hf: 0.5000 0.5000 0.5000  12 Br 3.96


A geometry-optimized BaLaAl2Rh structure. Source: Alexandria via LeMat-Bulk, functional PBE-GGA.

Computed properties:
SG: P4/mmm (123)
Electronic total energy in eV per atom: -4.728

a = 5.0794 Å, b = 5.3001 Å, c = 5.0794 Å
α = 90.00°, β = 90.00°, γ = 90.00°
Closest atoms and distances in Å follow each position.
Atoms (fractional coordinates):
Al: 0.0000 0.0000 0.5000  2 Rh 2.54
Al: 0.5000 0.0000 0.0000  2 Rh 2.54
La: 0.0000 0.5000 0.0000  2 Rh 2.65
Ba: 0.5000 0.5000 0.5000  4 La 3.59, 8 Al 3.67
Rh: 0.0000 0.0000 0.0000  4 Al 2.54, 2 La 2.65


A geometry-optimized Ce12PuAl6 structure. Source: Alexandria via LeMat-Bulk, functional PBE-GGA.

Computed properties:
SG: R-3 (148)
Electronic total energy in eV per atom: -5.739

a = 8.5214 Å, b = 8.5214 Å, c = 8.5214 Å
α = 108.32°, β = 108.32°, γ = 108.32°
Closest atoms and distances in Å follow each position.
Atoms (fractional coordinates):
Al: 0.2095 0.4447 0.0850  8 Ce 3.12-3.36, 1 Pu 3.36
Al: 0.5553 0.9150 0.7905  8 Ce 3.12-3.36, 1 Pu 3.36
Al: 0.9150 0.7905 0.5553  8 Ce 3.12-3.36, 1 Pu 3.36
Al: 0.7905 0.5553 0.9150  8 Ce 3.12-3.36, 1 Pu 3.36
Al: 0.4447 0.0850 0.2095  8 Ce 3.12-3.36, 1 Pu 3.36
Al: 0.0850 0.2095 0.4447  8 Ce 3.12-3.36, 1 Pu 3.36
Ce: 0.1260 0.8408 0.3051  2 Ce 2.78-2.82
Ce: 0.8408 0.3051 0.1260  2 Ce 2.78-2.82
Ce: 0.8348 0.4047 0.5528  2 Ce 2.78-2.82
Ce: 0.6949 0.8740 0.1592  2 Ce 2.78-2.82
Ce: 0.4472 0.1652 0.5953  2 Ce 2.78-2.82
Ce: 0.5953 0.4472 0.1652  2 Ce 2.78-2.82
Ce: 0.8740 0.1592 0.6949  2 Ce 2.78-2.82
Ce: 0.3051 0.1260 0.8408  2 Ce 2.78-2.82
Ce: 0.1592 0.6949 0.8740  2 Ce 2.78-2.82
Ce: 0.1652 0.5953 0.4472  2 Ce 2.78-2.82
Ce: 0.5528 0.8348 0.4047  2 Ce 2.78-2.82
Ce: 0.4047 0.5528 0.8348  2 Ce 2.78-2.82
Pu: 0.0000 0.0000 0.0000  6 Ce 3.34, 6 Al 3.36


A geometry-optimized BaThIn2 structure. Source: Alexandria via LeMat-Bulk, functional PBE-GGA.

Computed properties:
SG: P4/mmm (123)
Electronic total energy in eV per atom: -3.995

a = 3.6640 Å, b = 3.6640 Å, c = 9.6600 Å
α = 90.00°, β = 90.00°, γ = 90.00°
Closest atoms and distances in Å follow each position.
Atoms (fractional coordinates):
Th: 0.5000 0.5000 0.0000  8 In 3.41, 4 Th 3.66
Ba: 0.5000 0.5000 0.5000  4 Ba 3.66, 8 In 3.68
In: 0.0000 0.0000 0.2296  4 Th 3.41, 4 In 3.66, 4 Ba 3.68
In: 0.0000 0.0000 0.7704  4 Th 3.41, 4 In 3.66, 4 Ba 3.68


A geometry-optimized Li2RuBr structure. Source: Alexandria via LeMat-Bulk, functional PBE-GGA.

Computed properties:
Polymorph energy (0 for the lowest one) in meV/atom: 36
SG: Cmmm (65)
ΔE_f (raw) in eV/f.u.: 0.03

a = 2.9968 Å, b = 2.9968 Å, c = 8.2397 Å
α = 90.00°, β = 90.00°, γ = 115.28°
Closest atoms and distances in Å follow each position.
Atoms (fractional coordinates):
Ru: 0.5000 0.5000 0.2500  4 Li 2.70, 4 Ru 3.00
Br: 0.5000 0.5000 0.7500  4 Li 2.52
Li: 0.0000 0.0000 0.9866  2 Br 2.52, 2 Ru 2.70
Li: 0.0000 0.0000 0.5134  2 Br 2.52, 2 Ru 2.70


A geometry-optimized TlCd2Br structure. Source: Alexandria via LeMat-Bulk, functional PBE-GGA.

Computed properties:
Polymorph energy (0 for the lowest one) in meV/atom: 24
SG: P1 (1)
ΔE_f (raw) in eV/f.u.: -1.10

a = 5.3451 Å, b = 6.7905 Å, c = 8.1262 Å
α = 87.18°, β = 68.50°, γ = 66.88°
Closest atoms and distances in Å follow each position.
Atoms (fractional coordinates):
Cd: 0.1445 0.9234 0.7894  1 Br 2.93, 5 Cd 2.95-3.26, 2 Tl 3.13-3.20
Cd: 0.7481 0.8974 0.6139  1 Br 2.93, 5 Cd 2.95-3.26, 2 Tl 3.13-3.20
Cd: 0.5888 0.8390 0.9980  4 Cd 2.97-3.26, 1 Br 2.97, 2 Tl 3.06-3.12
Cd: 0.3042 0.9811 0.4050  1 Br 2.97, 4 Cd 2.97-3.26, 2 Tl 3.06-3.12
Br: 0.0715 0.4585 0.4312  2 Cd 2.93-2.97
Br: 0.8219 0.3607 0.9741  2 Cd 2.93-2.97
Tl: 0.9478 0.9074 0.2016  6 Cd 3.06-3.13
Tl: 0.4460 0.4101 0.7025  2 Cd 3.20, 4 Br 3.39-3.42


A geometry-optimized LaPm2SnO structure. Source: Alexandria via LeMat-Bulk, functional PBE-GGA.

Computed properties:
SG: P4/mmm (123)
ΔE_f (raw) in eV/f.u.: -7.46

a = 5.0217 Å, b = 4.9547 Å, c = 4.9547 Å
α = 90.00°, β = 90.00°, γ = 90.00°
Closest atoms and distances in Å follow each position.
Atoms (fractional coordinates):
Pm: 0.0000 0.5000 0.0000  2 O 2.48
Pm: 0.0000 0.0000 0.5000  2 O 2.48
O: 0.0000 0.0000 0.0000  4 Pm 2.48, 2 La 2.51
La: 0.5000 0.0000 0.0000  2 O 2.51
Sn: 0.5000 0.5000 0.5000  4 La 3.50, 8 Pm 3.53